1.
Ac2Bi4Pt3Rh (PBE, relaxed); energy of formation = -599 kJ/mol of formula units
1.0
4.8886 0.0000 0.0000
0.0000 4.8886 0.0000
0.0000 0.0000 10.9129
Ac Bi Pt Rh
2 4 3 1
Direct
0.0000 0.5000 0.2277
0.5000 0.0000 0.7723
0.0000 0.0000 0.5000
0.0000 0.5000 0.8771
0.5000 0.0000 0.1229
0.5000 0.5000 0.5000
0.0000 0.0000 0.0000
0.0000 0.5000 0.6289
0.5000 0.0000 0.3711
0.5000 0.5000 0.0000

2.
SnIrS2 (PBE, relaxed); formation energy (no corrections) = 0.0116 eV per atom
1.0
6.0109 0.0000 0.0000
0.0000 6.0109 0.0000
0.0000 0.0000 10.6377
Sn Ir S
4 4 8
Direct
0.0000 0.0000 0.0000
0.0000 0.5000 0.2500
0.5000 0.0000 0.7500
0.5000 0.5000 0.5000
0.0000 0.0000 0.5000
0.0000 0.5000 0.7500
0.5000 0.0000 0.2500
0.5000 0.5000 0.0000
0.1795 0.2500 0.6250
0.2500 0.6795 0.8750
0.2500 0.8205 0.3750
0.3205 0.2500 0.1250
0.6795 0.7500 0.1250
0.7500 0.1795 0.3750
0.7500 0.3205 0.8750
0.8205 0.7500 0.6250

3.
Ti3AlH (PBE, relaxed); calculated total energy = -28.18 eV per cell
1.0
3.6724 0.0000 0.0000
0.0000 3.6724 0.0000
0.0000 0.0000 7.0415
Ti Al H
3 1 1
Direct
0.0000 0.0000 0.0000
0.0000 0.5000 0.7069
0.5000 0.0000 0.7069
0.0000 0.0000 0.3962
0.5000 0.5000 0.6131

4.
ZnCr2In (PBE, relaxed); energy of formation = 147 kJ/mol of formula units
1.0
2.7437 0.0000 0.0000
0.0000 4.0704 0.0000
-0.9852 0.0000 5.3284
Zn Cr In
1 2 1
Direct
0.0000 0.0000 0.0000
0.5368 0.0000 0.4244
0.6794 0.5000 0.2247
0.1837 0.5000 0.7041

5.
ZrTi2O (PBE, relaxed); formation energy (no corrections) = -0.1400 eV per atom
1.0
4.7415 0.0000 0.0000
-2.3708 4.1063 0.0000
0.0000 0.0000 15.0992
Zr Ti O
3 6 3
Direct
0.0000 0.0000 0.0000
0.3333 0.6667 0.6667
0.6667 0.3333 0.3333
0.0000 0.0000 0.3792
0.0000 0.0000 0.6208
0.3333 0.6667 0.0459
0.3333 0.6667 0.2874
0.6667 0.3333 0.7126
0.6667 0.3333 0.9541
0.0000 0.0000 0.5000
0.3333 0.6667 0.1667
0.6667 0.3333 0.8333

6.
Li3TbIn4 (PBE, relaxed); energy of formation = -254 kJ/mol of formula units
1.0
2.4525 1.4160 8.3791
-2.4525 1.4160 8.3791
0.0000 -2.8319 8.3791
Li Tb In
3 1 4
Direct
0.0000 0.0000 0.0000
0.2511 0.2511 0.2511
0.7489 0.7489 0.7489
0.5000 0.5000 0.5000
0.1145 0.1145 0.1145
0.3714 0.3714 0.3714
0.6286 0.6286 0.6286
0.8855 0.8855 0.8855

7.
TmScOs (PBE, relaxed); energy of formation = -112 kJ/mol of formula units; offset from the most stable computed form = 0.00 eV/f.u.
1.0
7.2800 0.0000 0.0000
-3.6400 6.3046 0.0000
0.0000 0.0000 4.1257
Tm Sc Os
3 3 3
Direct
0.0000 0.5866 0.0000
0.4134 0.4134 0.0000
0.5866 0.0000 0.0000
0.0000 0.2524 0.5000
0.2524 0.0000 0.5000
0.7476 0.7476 0.5000
0.0000 0.0000 0.0000
0.3333 0.6667 0.5000
0.6667 0.3333 0.5000

8.
CaPr8Tm3 (PBE, relaxed); energy of formation = 45 kJ/mol of formula units
1.0
8.7411 0.0000 0.0000
0.0000 3.7143 0.0000
-3.3996 0.0000 13.0273
Ca Pr Tm
1 8 3
Direct
0.0000 0.0000 0.0000
0.0617 0.5000 0.7732
0.3333 0.0000 0.6651
0.3370 0.5000 0.1666
0.3904 0.5000 0.4357
0.6563 0.5000 0.8319
0.7151 0.5000 0.1160
0.7241 0.0000 0.6098
0.9958 0.5000 0.4931
0.0520 0.0000 0.2779
0.3929 0.0000 0.9445
0.6690 0.0000 0.3302

| no. | total magnetization (μB per formula unit) |
| --- | --- |
| 1 | 0.00 |
| 2 | 0.00 |
| 3 | 0.00 |
| 4 | 0.00 |
| 5 | 0.00 |
| 6 | 0.00 |
| 7 | 0.00 |
| 8 | 0.00 |